A relaxed SrZn2Pt2 crystal, computed with GGA-PBEsol.

The calculation puts the density of states at the Fermi level at 1.75 states/eV/cell. For the volume, the calculation gives 18.6 Å³ per atom. As for the symmetry: I4/mmm.

Cell: 4.2107 4.2107 6.0430 Å, 110.39 110.39 90.00°
Last column: nearest neighbours and their distance in Å.
Fractional coordinates of all 5 atoms:
Sr 0.0000 0.0000 0.0000  8 Zn 3.23, 8 Pt 3.37
Zn 0.3818 0.3818 0.7636  1 Zn 2.49, 4 Pt 2.52
Zn 0.6182 0.6182 0.2364  1 Zn 2.49, 4 Pt 2.52
Pt 0.2500 0.7500 0.5000  4 Zn 2.52
Pt 0.7500 0.2500 0.5000  4 Zn 2.52

A relaxed SrZnPt2 crystal, computed with GGA-PBEsol.

The calculation puts the density of states at the Fermi level at 1.11 states/eV/cell. For the volume, the calculation gives 18.2 Å³ per atom. As for the symmetry: Pmmm.

Cell: 2.9879 3.4914 6.9679 Å, 90.00 90.00 90.00°
Last column: nearest neighbours and their distance in Å.
Fractional coordinates of all 4 atoms:
Pt 0.0000 0.0000 0.6974  4 Zn 2.68, 3 Pt 2.75-2.99
Pt 0.0000 0.0000 0.3026  4 Zn 2.68, 3 Pt 2.75-2.99
Sr 0.5000 0.5000 0.0000  2 Sr 2.99, 8 Pt 3.12
Zn 0.5000 0.5000 0.5000  8 Pt 2.68, 2 Zn 2.99

A relaxed SrZnPt crystal, computed with GGA-PBEsol.

The calculation puts the density of states at the Fermi level at 1.13 states/eV/cell. For the volume, the calculation gives 22.9 Å³ per atom. As for the symmetry: P-6m2.

Cell: 4.2093 4.3378 4.3378 Å, 120.00 90.00 90.00°
Last column: nearest neighbours and their distance in Å.
Fractional coordinates of all 3 atoms:
Sr 0.0000 0.6667 0.3333  6 Zn 3.27, 6 Pt 3.27
Zn 0.5000 0.3333 0.6667  3 Pt 2.50
Pt 0.5000 0.0000 0.0000  3 Zn 2.50

A relaxed Sr2Zn2Pt crystal, computed with GGA-PBEsol.

The calculation puts the density of states at the Fermi level at 3.15 states/eV/cell. For the volume, the calculation gives 25.7 Å³ per atom. As for the symmetry: I4/mmm.

Cell: 5.5585 5.5585 5.5585 Å, 98.02 115.48 115.48°
Last column: nearest neighbours and their distance in Å.
Fractional coordinates of all 5 atoms:
Sr 0.5000 0.7500 0.2500  4 Zn 3.04
Sr 0.5000 0.2500 0.7500  4 Zn 3.04
Zn 0.0000 0.6610 0.6610  1 Zn 2.35, 1 Pt 2.47
Zn 0.0000 0.3390 0.3390  1 Zn 2.35, 1 Pt 2.47
Pt 0.0000 0.0000 0.0000  2 Zn 2.47

no.,energy of formation from the pure elements (eV per atom)
1,-0.577
2,-0.456
3,-0.632
4,-0.198